Here is Be2TcHg at its PBEsol-relaxed geometry from Alexandria via LeMat-Bulk. Energies are from meta-GGA SCAN.

a = 2.705 Å, b = 3.076 Å, c = 6.070 Å
α = 90.00°, β = 90.00°, γ = 90.00°
Positions (direct):
Be (0.000, 0.000, 0.000)
Be (0.500, 0.500, 0.177)
Tc (0.500, 0.500, 0.793)
Hg (0.000, 0.000, 0.450)

Calculated values
**N(E_F)**: 1.89 states/eV/cell
**Total magnetization**: 0.00 μB per formula unit
**Energy of formation**: 0.234 eV/atom